[1]
The following is a PBE calculation of a relaxed TbScCd2 crystal, from the Alexandria database.

It has space group P4/mmm (No. 123), with a = 3.609 Å, b = 3.609 Å, c = 7.453 Å, α = 90.00°, β = 90.00° and γ = 90.00°. The inequivalent atoms are Tb at (0.000, 0.000, 0.000), Sc at (0.000, 0.000, 0.500) and Cd at (0.500, 0.500, 0.273).

The total energy comes out at -14.00 eV for the cell shown.

[2]
The following is a PBE calculation of a relaxed PrTlBi crystal, from the Alexandria database.

It has space group P2_13 (No. 198), with a = 7.616 Å, b = 7.616 Å, c = 7.616 Å, α = 90.00°, β = 90.00° and γ = 90.00°. The inequivalent atoms are Pr at (0.020, 0.020, 0.020), Tl at (0.022, 0.978, 0.478) and Bi at (0.212, 0.712, 0.788).

The total energy comes out at -46.95 eV for the cell shown. The offset from the most stable computed form comes out at 109.2 meV per atom.

[3]
The following is a PBE calculation of a relaxed Ca2Ac5Nd5 crystal, from the Alexandria database.

It has space group C2/m (No. 12), with a = 16.062 Å, b = 5.466 Å, c = 12.124 Å, α = 90.00°, β = 115.81° and γ = 90.00°. The inequivalent atoms are Ca at (0.083, 0.000, 0.255), Ac at (0.000, 0.000, 0.500), Ac at (0.164, 0.000, 0.997), Ac at (0.249, 0.000, 0.746), Nd at (0.000, 0.500, 0.000), Nd at (0.086, 0.500, 0.748) and Nd at (0.167, 0.500, 0.503).

The total energy comes out at -95.61 eV for the cell shown.

[4]
The following is a PBE calculation of a relaxed CrRu3Au crystal, from the Alexandria database.

It has space group Pm-3m (No. 221), with a = 4.426 Å, b = 4.426 Å, c = 4.426 Å, α = 90.00°, β = 90.00° and γ = 90.00°. The inequivalent atoms are Cr at (0.000, 0.000, 0.000), Ru at (0.000, 0.000, 0.500) and Au at (0.500, 0.500, 0.500).

The total energy comes out at -34.70 eV for the cell shown. The offset from the most stable computed form comes out at 0.0 meV per atom.

[5]
The following is a PBE calculation of a relaxed Ce6Hg3N crystal, from the Alexandria database.

It has space group C2/m (No. 12), with a = 11.268 Å, b = 6.912 Å, c = 7.272 Å, α = 90.00°, β = 110.15° and γ = 90.00°. The inequivalent atoms are Ce at (0.110, 0.205, 0.347), Ce at (0.178, 0.000, 0.831), Hg at (0.000, 0.500, 0.000), Hg at (0.139, 0.500, 0.708) and N at (0.000, 0.000, 0.500).

The total energy comes out at -96.47 eV for the cell shown. As for the formation energy (no corrections): -0.340 eV/atom.

[6]
The following is a PBE calculation of a relaxed Al2Fe2Ni15 crystal, from the Alexandria database.

It has space group R-3m (No. 166, hexagonal axes), with a = 8.1005 Å, b = 8.1005 Å, c = 12.1475 Å, α = 90.00°, β = 90.00° and γ = 120.00°. The inequivalent atoms are Al at (0.0000, 0.0000, 0.1107), Fe at (0.0000, 0.0000, 0.3910), Ni at (0.0000, 0.3127, 0.0000), Ni at (0.0000, 0.5000, 0.5000) and Ni at (0.0054, 0.5027, 0.1578).

The total energy comes out at -330.95 eV for the cell shown. The offset from the most stable computed form comes out at 31.6 meV per atom.

[7]
The following is a PBE calculation of a relaxed Zn2SiHg2 crystal, from the Alexandria database.

It has space group P4/mbm (No. 127), with a = 8.099 Å, b = 8.099 Å, c = 3.031 Å, α = 90.00°, β = 90.00° and γ = 90.00°. The inequivalent atoms are Zn at (0.113, 0.387, 0.000), Si at (0.000, 0.000, 0.500) and Hg at (0.187, 0.687, 0.500).

The total energy comes out at -13.50 eV for the cell shown. As for the formation energy (no corrections): 0.365 eV/atom. The offset from the most stable computed form comes out at 77.9 meV per atom.

[8]
The following is a PBE calculation of a relaxed LaHoCrN4 crystal, from the Alexandria database.

It has space group P2_1/m (No. 11), with a = 5.583 Å, b = 5.561 Å, c = 6.900 Å, α = 90.00°, β = 108.01° and γ = 90.00°. The inequivalent atoms are La at (0.221, 0.250, 0.432), Ho at (0.297, 0.250, 0.962), Cr at (0.256, 0.750, 0.186), N at (0.058, 0.750, 0.339), N at (0.078, 0.750, 0.936) and N at (0.464, 0.506, 0.240).

The total energy comes out at -120.94 eV for the cell shown. As for the formation energy (no corrections): -1.148 eV/atom.

[9]
The following is a PBE calculation of a relaxed ReAg2As crystal, from the Alexandria database.

It has space group Cmm2 (No. 35), with a = 3.096 Å, b = 4.757 Å, c = 9.760 Å, α = 90.00°, β = 90.00° and γ = 90.00°. The inequivalent atoms are Re at (0.000, 0.000, 0.000), Ag at (0.000, 0.000, 0.498), Ag at (0.000, 0.500, 0.251) and As at (0.000, 0.500, 0.799).

The total energy comes out at -42.28 eV for the cell shown.

[10]
The following is a PBE calculation of a relaxed La5Y4Ho2 crystal, from the Alexandria database.

It has space group C2/m (No. 12), with a = 17.918 Å, b = 3.573 Å, c = 11.789 Å, α = 90.00°, β = 93.87° and γ = 90.00°. The inequivalent atoms are La at (0.000, 0.000, 0.000), La at (0.097, 0.500, 0.536), La at (0.177, 0.500, 0.074), Y at (0.037, 0.500, 0.263), Y at (0.141, 0.000, 0.797) and Ho at (0.216, 0.000, 0.353).

The total energy comes out at -117.59 eV for the cell shown.

[11]
The following is a PBE calculation of a relaxed HfCCl2 crystal, from the Alexandria database.

It has space group R-3m (No. 166, hexagonal axes), with a = 3.4569 Å, b = 3.4569 Å, c = 34.2969 Å, α = 90.00°, β = 90.00° and γ = 120.00°. The inequivalent atoms are Hf at (0.0000, 0.0000, 0.0000), C at (0.0000, 0.0000, 0.5000) and Cl at (0.0000, 0.0000, 0.0673).

The total energy comes out at -54.88 eV for the cell shown. As for the formation energy (no corrections): 1.144 eV/atom. The offset from the most stable computed form comes out at 1218.9 meV per atom.

[12]
The following is a PBE calculation of a relaxed LaSe3 crystal, from the Alexandria database.

It has space group Pm-3m (No. 221), with a = 4.554 Å, b = 4.554 Å, c = 4.554 Å, α = 90.00°, β = 90.00° and γ = 90.00°. The inequivalent atoms are La at (0.000, 0.000, 0.000) and Se at (0.000, 0.500, 0.500).

The total energy comes out at -19.19 eV for the cell shown. As for the formation energy (no corrections): -0.953 eV/atom.